Below is a relaxed SrPBrO2 crystal, with properties calculated at the PBE-GGA level.

Structure (POSCAR):
```
SrPBrO2
1.0
4.476 0.000 0.000
0.000 4.476 0.000
0.000 0.000 7.933
Sr O Br P
1 2 1 1
Direct
0.000 0.000 0.000
0.000 0.500 0.000
0.500 0.000 0.000
0.500 0.500 0.500
0.000 0.000 0.500
```

Calculated values
Symmetry ... P4/mmm, No. 123
VASP energy ... -3.642 eV/atom

=====

Below is a relaxed Sr6P2Br3O crystal, with properties calculated at the PBE-GGA level.

Structure (POSCAR):
```
Sr6P2Br3O
1.0
7.386 0.002 0.000
-3.689 6.399 0.000
-1.233 -2.134 7.425
Sr P Br O
6 2 3 1
Direct
0.932 0.621 0.798
0.756 0.756 0.203
0.068 0.379 0.202
0.621 0.932 0.798
0.244 0.244 0.797
0.379 0.068 0.202
0.333 0.667 0.000
0.667 0.333 0.000
0.169 0.831 0.500
0.831 0.169 0.500
0.500 0.500 0.500
0.000 0.000 0.000
```

Calculated values
Symmetry ... C2/m, No. 12
VASP energy ... -4.263 eV/atom

=====

Below is a relaxed SrPBrO2 crystal, with properties calculated at the PBE-GGA level.

Structure (POSCAR):
```
SrPBrO2
1.0
-0.337 4.320 -0.127
-1.739 -0.018 3.971
4.306 0.391 1.887
Sr O Br P
1 2 1 1
Direct
0.500 0.500 0.500
0.000 0.500 0.000
0.500 0.000 0.000
0.000 0.000 0.000
0.000 0.000 0.500
```

Calculated values
Symmetry ... P4/mmm, No. 123
VASP energy ... -3.855 eV/atom

=====

Below is a relaxed TaPBrO2 crystal, with properties calculated at the PBE-GGA level.

Structure (POSCAR):
```
TaPBrO2
1.0
3.690 0.000 0.000
0.000 3.690 0.000
0.000 0.000 7.100
P O Br Ta
1 2 1 1
Direct
0.000 0.000 0.500
0.000 0.500 0.000
0.500 0.000 0.000
0.000 0.000 0.000
0.500 0.500 0.500
```

Calculated values
Symmetry ... P4/mmm, No. 123
Distance to the lowest polymorph of the same formula ... 10.615 eV per formula unit
VASP energy ... -4.967 eV/atom

=====

Below is a relaxed TaP2BrO crystal, with properties calculated at the PBE-GGA level.

Structure (POSCAR):
```
TaP2BrO
1.0
-3.485 -1.254 -3.090
-0.678 -4.109 2.433
-2.448 1.644 2.095
P O Br Ta
2 1 1 1
Direct
0.000 0.500 0.000
0.500 0.000 0.000
0.000 0.000 0.500
0.000 0.000 0.000
0.500 0.500 0.500
```

Calculated values
Symmetry ... P4/mmm, No. 123
Distance to the lowest polymorph of the same formula ... 7.448 eV per formula unit
VASP energy ... -4.688 eV/atom

=====

Below is a relaxed TaP2BrO8 crystal, with properties calculated at the PBE-GGA level.

Structure (POSCAR):
```
TaP2BrO8
1.0
5.249 0.000 0.000
-2.625 4.546 0.000
0.000 0.000 8.487
Ta P Br O
1 2 1 8
Direct
0.000 0.000 0.000
0.333 0.667 0.794
0.667 0.333 0.206
0.000 0.000 0.500
0.176 0.351 0.865
0.176 0.824 0.865
0.649 0.824 0.865
0.351 0.176 0.135
0.667 0.333 0.385
0.333 0.667 0.615
0.824 0.649 0.135
0.824 0.176 0.135
```

Calculated values
Symmetry ... P-3m1, No. 164
VASP energy ... -7.274 eV/atom

=====

Table of total moment (μB per formula unit), in record order: 3.96; 0.00; 0.00; 1.43; 1.05; 2.01
Table of formation energy (no corrections) (kJ/mol of atoms), in record order: 9; -163; -11; 77; 113; -187